(1)
Below is KYI2O at its PBEsol-relaxed geometry, with properties calculated at the SCAN level.

CIF file:
```
data_KYI2O
_cell_length_a 5.945
_cell_length_b 5.945
_cell_length_c 4.180
_cell_angle_alpha 90.00
_cell_angle_beta 90.00
_cell_angle_gamma 90.00
_symmetry_space_group_name_H-M 'P 4/m m m'
_symmetry_Int_Tables_number 123
_symmetry_space_group_name_Hall '-P 4 2'
loop_
_atom_site_label
_atom_site_type_symbol
_atom_site_fract_x
_atom_site_fract_y
_atom_site_fract_z
_atom_site_occupancy
K1 K 0.000 0.000 0.000 1
Y1 Y 0.500 0.500 0.500 1
I1 I 0.000 0.500 0.000 1
O1 O 0.000 0.000 0.500 1
```

Summary:
Spin magnetization, Bohr magnetons per cell: 0.1
Density of states at the Fermi level, states/eV/f.u.: 1.30
E_form (uncorrected), kcal/mol of atoms: -7.42

(2)
Below is KOs3I at its PBEsol-relaxed geometry, with properties calculated at the SCAN level.

CIF file:
```
data_KOs3I
_cell_length_a 4.866
_cell_length_b 4.866
_cell_length_c 4.866
_cell_angle_alpha 90.00
_cell_angle_beta 90.00
_cell_angle_gamma 90.00
_symmetry_space_group_name_H-M 'P m -3 m'
_symmetry_Int_Tables_number 221
_symmetry_space_group_name_Hall '-P 4 2 3'
loop_
_atom_site_label
_atom_site_type_symbol
_atom_site_fract_x
_atom_site_fract_y
_atom_site_fract_z
_atom_site_occupancy
K1 K 0.000 0.000 0.000 1
Os1 Os 0.000 0.500 0.500 1
I1 I 0.500 0.500 0.500 1
```

Summary:
Spin magnetization, Bohr magnetons per cell: 0.0
Density of states at the Fermi level, states/eV/f.u.: 4.52
E_form (uncorrected), kcal/mol of atoms: 61.21

(3)
Below is K4P21I at its PBEsol-relaxed geometry, with properties calculated at the SCAN level.

CIF file:
```
data_K4P21I
_cell_length_a 21.743
_cell_length_b 12.775
_cell_length_c 9.689
_cell_angle_alpha 90.00
_cell_angle_beta 90.00
_cell_angle_gamma 90.00
_symmetry_space_group_name_H-M 'C m c m'
_symmetry_Int_Tables_number 63
_symmetry_space_group_name_Hall '-C 2c 2'
loop_
_atom_site_label
_atom_site_type_symbol
_atom_site_fract_x
_atom_site_fract_y
_atom_site_fract_z
_atom_site_occupancy
K1 K 0.087 0.162 0.250 1
K2 K 0.120 0.500 0.000 1
P1 P 0.000 0.036 0.750 1
P2 P 0.000 0.146 0.584 1
P3 P 0.074 0.259 0.633 1
P4 P 0.151 0.158 0.574 1
P5 P 0.175 0.051 0.750 1
P6 P 0.219 0.273 0.250 1
P7 P 0.221 0.284 0.583 1
P8 P 0.227 0.440 0.250 1
I1 I 0.000 0.401 0.250 1
```

Summary:
Spin magnetization, Bohr magnetons per cell: 0.0
E_form (uncorrected), kcal/mol of atoms: -8.23

(4)
Below is KPb3I at its PBEsol-relaxed geometry, with properties calculated at the SCAN level.

CIF file:
```
data_KPb3I
_cell_length_a 6.012
_cell_length_b 6.012
_cell_length_c 6.012
_cell_angle_alpha 90.00
_cell_angle_beta 90.00
_cell_angle_gamma 90.00
_symmetry_space_group_name_H-M 'P m -3 m'
_symmetry_Int_Tables_number 221
_symmetry_space_group_name_Hall '-P 4 2 3'
loop_
_atom_site_label
_atom_site_type_symbol
_atom_site_fract_x
_atom_site_fract_y
_atom_site_fract_z
_atom_site_occupancy
K1 K 0.000 0.000 0.000 1
Pb1 Pb 0.000 0.500 0.500 1
I1 I 0.500 0.500 0.500 1
```

Summary:
Spin magnetization, Bohr magnetons per cell: 0.0
Density of states at the Fermi level, states/eV/f.u.: 2.91
E_form (uncorrected), kcal/mol of atoms: 8.27

(5)
Below is KSb2PbI at its PBEsol-relaxed geometry, with properties calculated at the SCAN level.

CIF file:
```
data_KSb2PbI
_cell_length_a 5.754
_cell_length_b 5.754
_cell_length_c 6.472
_cell_angle_alpha 90.00
_cell_angle_beta 90.00
_cell_angle_gamma 90.00
_symmetry_space_group_name_H-M 'P 4/m m m'
_symmetry_Int_Tables_number 123
_symmetry_space_group_name_Hall '-P 4 2'
loop_
_atom_site_label
_atom_site_type_symbol
_atom_site_fract_x
_atom_site_fract_y
_atom_site_fract_z
_atom_site_occupancy
K1 K 0.000 0.000 0.000 1
Sb1 Sb 0.000 0.500 0.500 1
Pb1 Pb 0.500 0.500 0.500 1
I1 I 0.500 0.500 0.000 1
```

Summary:
Spin magnetization, Bohr magnetons per cell: 1.2
Density of states at the Fermi level, states/eV/f.u.: 3.52
E_form (uncorrected), kcal/mol of atoms: 1.53

(6)
Below is KPdI2 at its PBEsol-relaxed geometry, with properties calculated at the SCAN level.

CIF file:
```
data_KPdI2
_cell_length_a 7.653
_cell_length_b 7.653
_cell_length_c 7.653
_cell_angle_alpha 90.00
_cell_angle_beta 90.00
_cell_angle_gamma 90.00
_symmetry_space_group_name_H-M 'F m -3 m'
_symmetry_Int_Tables_number 225
_symmetry_space_group_name_Hall '-F 4 2 3'
loop_
_atom_site_label
_atom_site_type_symbol
_atom_site_fract_x
_atom_site_fract_y
_atom_site_fract_z
_atom_site_occupancy
K1 K 0.000 0.000 0.000 1
Pd1 Pd 0.000 0.000 0.500 1
I1 I 0.250 0.250 0.250 1
```

Summary:
Spin magnetization, Bohr magnetons per cell: 4.0
Density of states at the Fermi level, states/eV/f.u.: 5.58
E_form (uncorrected), kcal/mol of atoms: -7.16

(7)
Below is K2TlPdI at its PBEsol-relaxed geometry, with properties calculated at the SCAN level.

CIF file:
```
data_K2TlPdI
_cell_length_a 5.973
_cell_length_b 5.973
_cell_length_c 5.216
_cell_angle_alpha 90.00
_cell_angle_beta 90.00
_cell_angle_gamma 90.00
_symmetry_space_group_name_H-M 'P 4/m m m'
_symmetry_Int_Tables_number 123
_symmetry_space_group_name_Hall '-P 4 2'
loop_
_atom_site_label
_atom_site_type_symbol
_atom_site_fract_x
_atom_site_fract_y
_atom_site_fract_z
_atom_site_occupancy
K1 K 0.000 0.500 0.000 1
Tl1 Tl 0.000 0.000 0.500 1
Pd1 Pd 0.000 0.000 0.000 1
I1 I 0.500 0.500 0.500 1
```

Summary:
Spin magnetization, Bohr magnetons per cell: 0.0
Density of states at the Fermi level, states/eV/f.u.: 1.68
E_form (uncorrected), kcal/mol of atoms: -12.93

(8)
Below is K2PtI at its PBEsol-relaxed geometry, with properties calculated at the SCAN level.

CIF file:
```
data_K2PtI
_cell_length_a 7.897
_cell_length_b 7.897
_cell_length_c 7.897
_cell_angle_alpha 90.00
_cell_angle_beta 90.00
_cell_angle_gamma 90.00
_symmetry_space_group_name_H-M 'F m -3 m'
_symmetry_Int_Tables_number 225
_symmetry_space_group_name_Hall '-F 4 2 3'
loop_
_atom_site_label
_atom_site_type_symbol
_atom_site_fract_x
_atom_site_fract_y
_atom_site_fract_z
_atom_site_occupancy
K1 K 0.250 0.250 0.250 1
Pt1 Pt 0.000 0.000 0.000 1
I1 I 0.000 0.000 0.500 1
```

Summary:
Spin magnetization, Bohr magnetons per cell: 4.0
Density of states at the Fermi level, states/eV/f.u.: 4.53
E_form (uncorrected), kcal/mol of atoms: -7.24

(9)
Below is KPtI3 at its PBEsol-relaxed geometry, with properties calculated at the SCAN level.

CIF file:
```
data_KPtI3
_cell_length_a 5.507
_cell_length_b 5.507
_cell_length_c 5.507
_cell_angle_alpha 90.00
_cell_angle_beta 90.00
_cell_angle_gamma 90.00
_symmetry_space_group_name_H-M 'P m -3 m'
_symmetry_Int_Tables_number 221
_symmetry_space_group_name_Hall '-P 4 2 3'
loop_
_atom_site_label
_atom_site_type_symbol
_atom_site_fract_x
_atom_site_fract_y
_atom_site_fract_z
_atom_site_occupancy
K1 K 0.000 0.000 0.000 1
Pt1 Pt 0.500 0.500 0.500 1
I1 I 0.000 0.500 0.500 1
```

Summary:
Spin magnetization, Bohr magnetons per cell: 0.0
Density of states at the Fermi level, states/eV/f.u.: 1.09
E_form (uncorrected), kcal/mol of atoms: -15.09

(10)
Below is KRbI2 at its PBEsol-relaxed geometry, with properties calculated at the SCAN level.

CIF file:
```
data_KRbI2
_cell_length_a 8.062
_cell_length_b 8.062
_cell_length_c 15.780
_cell_angle_alpha 90.00
_cell_angle_beta 90.00
_cell_angle_gamma 90.00
_symmetry_space_group_name_H-M 'I -4 2 d'
_symmetry_Int_Tables_number 122
_symmetry_space_group_name_Hall 'I -4 2bw'
loop_
_atom_site_label
_atom_site_type_symbol
_atom_site_fract_x
_atom_site_fract_y
_atom_site_fract_z
_atom_site_occupancy
K1 K 0.000 0.000 0.000 1
Rb1 Rb 0.000 0.000 0.500 1
I1 I 0.235 0.250 0.125 1
```

Summary:
Spin magnetization, Bohr magnetons per cell: 0.9
Density of states at the Fermi level, states/eV/f.u.: 0.00
E_form (uncorrected), kcal/mol of atoms: -35.07

(11)
Below is KRb3I at its PBEsol-relaxed geometry, with properties calculated at the SCAN level.

CIF file:
```
data_KRb3I
_cell_length_a 7.186
_cell_length_b 7.186
_cell_length_c 7.186
_cell_angle_alpha 90.00
_cell_angle_beta 90.00
_cell_angle_gamma 90.00
_symmetry_space_group_name_H-M 'P m -3 m'
_symmetry_Int_Tables_number 221
_symmetry_space_group_name_Hall '-P 4 2 3'
loop_
_atom_site_label
_atom_site_type_symbol
_atom_site_fract_x
_atom_site_fract_y
_atom_site_fract_z
_atom_site_occupancy
K1 K 0.000 0.000 0.000 1
Rb1 Rb 0.000 0.500 0.500 1
I1 I 0.500 0.500 0.500 1
```

Summary:
Spin magnetization, Bohr magnetons per cell: 0.2
Density of states at the Fermi level, states/eV/f.u.: 2.99
E_form (uncorrected), kcal/mol of atoms: -13.71

(12)
Below is KRbI2 at its PBEsol-relaxed geometry, with properties calculated at the SCAN level.

CIF file:
```
data_KRbI2
_cell_length_a 8.584
_cell_length_b 8.584
_cell_length_c 8.584
_cell_angle_alpha 90.00
_cell_angle_beta 90.00
_cell_angle_gamma 90.00
_symmetry_space_group_name_H-M 'F m -3 m'
_symmetry_Int_Tables_number 225
_symmetry_space_group_name_Hall '-F 4 2 3'
loop_
_atom_site_label
_atom_site_type_symbol
_atom_site_fract_x
_atom_site_fract_y
_atom_site_fract_z
_atom_site_occupancy
K1 K 0.000 0.000 0.000 1
Rb1 Rb 0.000 0.000 0.500 1
I1 I 0.250 0.250 0.250 1
```

Summary:
Spin magnetization, Bohr magnetons per cell: 0.0
Density of states at the Fermi level, states/eV/f.u.: 0.00
E_form (uncorrected), kcal/mol of atoms: -37.22

(13)
Below is KRb2ScI6 at its PBEsol-relaxed geometry, with properties calculated at the SCAN level.

CIF file:
```
data_KRb2ScI6
_cell_length_a 12.201
_cell_length_b 12.201
_cell_length_c 12.201
_cell_angle_alpha 90.00
_cell_angle_beta 90.00
_cell_angle_gamma 90.00
_symmetry_space_group_name_H-M 'F m -3 m'
_symmetry_Int_Tables_number 225
_symmetry_space_group_name_Hall '-F 4 2 3'
loop_
_atom_site_label
_atom_site_type_symbol
_atom_site_fract_x
_atom_site_fract_y
_atom_site_fract_z
_atom_site_occupancy
K1 K 0.000 0.000 0.000 1
Rb1 Rb 0.250 0.250 0.250 1
Sc1 Sc 0.000 0.000 0.500 1
I1 I 0.000 0.000 0.267 1
```

Summary:
Spin magnetization, Bohr magnetons per cell: 0.0
Density of states at the Fermi level, states/eV/f.u.: 0.00
E_form (uncorrected), kcal/mol of atoms: -34.52